A geometry-optimized KCaTbWO6 structure. Source: Alexandria via LeMat-Bulk, functional PBE+U. Values from VASP.

Summary:
DFT total energy: -7.052 eV/atom
calculated density: 5.869 g/cm³

```
&SYSTEM
  ibrav = 0, nat = 10, ntyp = 5
/
ATOMIC_SPECIES
K 39.10 K.upf
Ca 40.08 Ca.upf
Tb 158.93 Tb.upf
W 183.84 W.upf
O 16.00 O.upf
CELL_PARAMETERS angstrom
0.000 4.184 4.184
4.184 0.000 4.184
4.184 4.184 0.000
ATOMIC_POSITIONS crystal
K 0.000 0.000 0.000
Ca 0.500 0.500 0.500
Tb 0.750 0.750 0.750
W 0.250 0.250 0.250
O 0.017 0.017 0.483
O 0.017 0.483 0.017
O 0.017 0.483 0.483
O 0.483 0.017 0.017
O 0.483 0.017 0.483
O 0.483 0.483 0.017
```